Material: BaW4
Method: DFT, PBE
State: optimized geometry

Cell lengths 4.864, 4.864, 4.864 Å; angles 90.00, 90.00, 90.00 degrees
Sites, in units of the cell vectors:
Ba1 0.000 0.000 0.000
W1 0.000 0.000 0.500
W2 0.000 0.500 0.000
W3 0.500 0.000 0.000
W4 0.500 0.500 0.500

Properties
* DFT formation energy: 4141 meV/atom
* electronic total energy: -6.606 eV/atom
* energy relative to the lowest polymorph listed for this composition: 3.334 eV per atom

***

Material: CaGdTm2
Method: DFT, PBE
State: optimized geometry

Cell lengths 3.598, 3.598, 10.234 Å; angles 90.00, 90.00, 90.00 degrees
Sites, in units of the cell vectors:
Ca1 0.000 0.000 0.000
Gd1 0.000 0.000 0.500
Tm1 0.500 0.500 0.269
Tm2 0.500 0.500 0.731

Properties
* DFT formation energy: 91 meV/atom
* electronic total energy: -6.166 eV/atom
* energy relative to the lowest polymorph listed for this composition: 0.000 eV per atom

***

Material: Sr5CaAu6
Method: DFT, PBE
State: optimized geometry

Cell lengths 9.337, 9.337, 5.385 Å; angles 106.71, 106.71, 48.26 degrees
Sites, in units of the cell vectors:
Sr1 0.000 0.000 0.000
Sr2 0.165 0.165 0.666
Sr3 0.333 0.333 0.333
Sr4 0.667 0.667 0.667
Sr5 0.835 0.835 0.334
Ca1 0.500 0.500 0.000
Au1 0.095 0.580 0.838
Au2 0.262 0.738 0.500
Au3 0.420 0.905 0.162
Au4 0.580 0.095 0.838
Au5 0.738 0.262 0.500
Au6 0.905 0.420 0.162

Properties
* DFT formation energy: -737 meV/atom
* electronic total energy: -3.243 eV/atom

***

Material: HfCu2Rh
Method: DFT, PBE
State: optimized geometry

Cell lengths 7.128, 7.128, 5.045 Å; angles 90.00, 90.00, 90.00 degrees
Sites, in units of the cell vectors:
Hf1 0.000 0.000 0.000
Hf2 0.000 0.500 0.250
Hf3 0.500 0.000 0.750
Hf4 0.500 0.500 0.500
Cu1 0.231 0.250 0.625
Cu2 0.250 0.731 0.875
Cu3 0.250 0.769 0.375
Cu4 0.269 0.250 0.125
Cu5 0.731 0.750 0.125
Cu6 0.750 0.231 0.375
Cu7 0.750 0.269 0.875
Cu8 0.769 0.750 0.625
Rh1 0.000 0.000 0.500
Rh2 0.000 0.500 0.750
Rh3 0.500 0.000 0.250
Rh4 0.500 0.500 0.000

Properties
* DFT formation energy: 67 meV/atom
* electronic total energy: -6.307 eV/atom

***

Material: Ce3MnTl4S8
Method: DFT, PBE
State: optimized geometry

Cell lengths 8.832, 8.832, 8.832 Å; angles 54.98, 54.98, 54.98 degrees
Sites, in units of the cell vectors:
Ce1 0.000 0.500 0.500
Ce2 0.500 0.000 0.500
Ce3 0.500 0.500 0.000
Mn1 0.000 0.000 0.000
Tl1 0.000 0.000 0.500
Tl2 0.000 0.500 0.000
Tl3 0.500 0.000 0.000
Tl4 0.500 0.500 0.500
S1 0.226 0.226 0.744
S2 0.226 0.744 0.226
S3 0.256 0.774 0.774
S4 0.265 0.265 0.265
S5 0.735 0.735 0.735
S6 0.744 0.226 0.226
S7 0.774 0.256 0.774
S8 0.774 0.774 0.256

Properties
* formation energy without anion corrections: -1.18 eV per atom
* electronic total energy: -5.517 eV/atom

***

Material: LaTb5Nd7
Method: DFT, PBE
State: optimized geometry

Cell lengths 8.911, 8.911, 8.911 Å; angles 135.44, 99.82, 96.72 degrees
Sites, in units of the cell vectors:
La1 0.000 0.000 0.000
Tb1 0.036 0.040 0.469
Tb2 0.036 0.567 0.996
Tb3 0.570 0.040 0.004
Tb4 0.570 0.567 0.531
Tb5 0.804 0.304 0.500
Nd1 0.226 0.554 0.672
Nd2 0.303 0.303 0.000
Nd3 0.304 0.804 0.500
Nd4 0.385 0.055 0.330
Nd5 0.611 0.611 0.000
Nd6 0.725 0.055 0.670
Nd7 0.882 0.554 0.328

Properties
* DFT formation energy: 214 meV/atom
* electronic total energy: -4.513 eV/atom

***

Taking the records one at a time from the top gives spin magnetization values of 0.000; 6.862; 0.000; 0.000; 7.025; 0.000 μB/cell.